This record from Alexandria via LeMat-Bulk describes a relaxed structure of K3MoHS4O. The functional is PBE with a Hubbard U.

abc: 9.7266 6.5054 8.2973
angles: 90.00 90.00 90.00
Space group Pmn2_1 (No. 31)
One atom of each set of equivalent atoms:
K 0.0000 0.0017 0.0000 [2 per cell]
K 0.2284 0.6065 0.7445 [4 per cell]
Mo 0.0000 0.9988 0.4913 [2 per cell]
H 0.0000 0.5932 0.1690 [2 per cell]
S 0.0000 0.3382 0.5222 [2 per cell]
S 0.0000 0.4978 0.0241 [2 per cell]
S 0.1857 0.9051 0.3523 [4 per cell]
O 0.0000 0.8722 0.6805 [2 per cell]

Results
Total magnetic moment ... 0.000 μB per formula unit
Total energy ... -89.952 eV per cell